# 1
# NbRhSeBr2

An optimized crystal structure of NbRhSeBr2 (GGA-PBEsol, Alexandria).

Output
N(E_F) in states/eV/f.u.: 11.48
VASP energy in eV/atom: -4.722
Size of the total moment in μB/cell: 1.30

a b c (Å): 4.9667 5.0414 5.0414
angles (deg): 90.00 90.00 90.00
Closest atoms and distances in Å follow each position.
Positions (direct):
Nb 0.0000 0.0000 0.0000  2 Se 2.48, 4 Br 2.52
Rh 0.5000 0.5000 0.5000  8 Br 3.54, 4 Se 3.56
Se 0.5000 0.0000 0.0000  2 Nb 2.48
Br 0.0000 0.0000 0.5000  2 Nb 2.52
Br 0.0000 0.5000 0.0000  2 Nb 2.52

# 2
# BaSiMo4

An optimized crystal structure of BaSiMo4 (GGA-PBEsol, Alexandria).

Output
N(E_F) in states/eV/f.u.: 7.53
VASP energy in eV/atom: -8.256
Size of the total moment in μB/cell: 0.00

a b c (Å): 5.3883 5.3883 5.3883
angles (deg): 60.00 60.00 60.00
Closest atoms and distances in Å follow each position.
Positions (direct):
Ba 0.0000 0.0000 0.0000  12 Mo 3.16, 4 Si 3.30
Mo 0.3755 0.3755 0.3755  6 Mo 2.68-2.71
Mo 0.3755 0.3755 0.8734  6 Mo 2.68-2.71
Mo 0.8734 0.3755 0.3755  6 Mo 2.68-2.71
Mo 0.3755 0.8734 0.3755  6 Mo 2.68-2.71
Si 0.7500 0.7500 0.7500  12 Mo 3.16, 4 Ba 3.30

# 3
# Cd3GaPt

An optimized crystal structure of Cd3GaPt (GGA-PBEsol, Alexandria).

Output
N(E_F) in states/eV/f.u.: 4.03
Energy of formation from the pure elements in kJ/mol of atoms: 68.6
VASP energy in eV/atom: -2.068
Size of the total moment in μB/cell: 0.00

a b c (Å): 4.8498 4.8498 4.8498
angles (deg): 90.00 90.00 90.00
Closest atoms and distances in Å follow each position.
Positions (direct):
Ga 0.0000 0.0000 0.0000  6 Cd 2.42
Pt 0.5000 0.5000 0.5000  12 Cd 3.43
Cd 0.0000 0.5000 0.0000  2 Ga 2.42
Cd 0.0000 0.0000 0.5000  2 Ga 2.42
Cd 0.5000 0.0000 0.0000  2 Ga 2.42

# 4
# Re12Mo17

An optimized crystal structure of Re12Mo17 (GGA-PBEsol, Alexandria).

Output
N(E_F) in states/eV/f.u.: 24.31
Energy of formation from the pure elements in kJ/mol of atoms: 6.9
VASP energy in eV/atom: -12.344
Size of the total moment in μB/cell: 0.00

a b c (Å): 8.3302 8.3302 8.3302
angles (deg): 109.47 109.47 109.47
Closest atoms and distances in Å follow each position.
Positions (direct):
Mo 0.7199 0.4055 0.4055  5 Re 2.59-2.81, 3 Mo 2.71-2.83
Mo 0.2801 0.6856 0.6856  5 Re 2.59-2.81, 3 Mo 2.71-2.83
Mo 0.0000 0.3144 0.5945  5 Re 2.59-2.81, 3 Mo 2.71-2.83
Mo 0.0000 0.5945 0.3144  5 Re 2.59-2.81, 3 Mo 2.71-2.83
Mo 0.4055 0.7199 0.4055  5 Re 2.59-2.81, 3 Mo 2.71-2.83
Mo 0.6856 0.2801 0.6856  5 Re 2.59-2.81, 3 Mo 2.71-2.83
Mo 0.5945 0.0000 0.3144  5 Re 2.59-2.81, 3 Mo 2.71-2.83
Mo 0.3144 0.0000 0.5945  5 Re 2.59-2.81, 3 Mo 2.71-2.83
Mo 0.4055 0.4055 0.7199  5 Re 2.59-2.81, 3 Mo 2.71-2.83
Mo 0.6856 0.6856 0.2801  5 Re 2.59-2.81, 3 Mo 2.71-2.83
Mo 0.3144 0.5945 0.0000  5 Re 2.59-2.81, 3 Mo 2.71-2.83
Mo 0.5945 0.3144 0.0000  5 Re 2.59-2.81, 3 Mo 2.71-2.83
Mo 0.6458 0.6458 0.6458  4 Mo 2.71-2.95, 6 Re 2.91
Mo 0.3542 0.0000 0.0000  4 Mo 2.71-2.95, 6 Re 2.91
Mo 0.0000 0.0000 0.3542  4 Mo 2.71-2.95, 6 Re 2.91
Mo 0.0000 0.3542 0.0000  4 Mo 2.71-2.95, 6 Re 2.91
Mo 0.0000 0.0000 0.0000  4 Mo 2.95, 12 Re 3.01
Re 0.1850 0.3768 0.3768  3 Re 2.52-2.61, 5 Mo 2.59-2.81
Re 0.8150 0.1918 0.1918  3 Re 2.52-2.61, 5 Mo 2.59-2.81
Re 0.0000 0.8082 0.6232  3 Re 2.52-2.61, 5 Mo 2.59-2.81
Re 0.0000 0.6232 0.8082  3 Re 2.52-2.61, 5 Mo 2.59-2.81
Re 0.3768 0.1850 0.3768  3 Re 2.52-2.61, 5 Mo 2.59-2.81
Re 0.1918 0.8150 0.1918  3 Re 2.52-2.61, 5 Mo 2.59-2.81
Re 0.6232 0.0000 0.8082  3 Re 2.52-2.61, 5 Mo 2.59-2.81
Re 0.8082 0.0000 0.6232  3 Re 2.52-2.61, 5 Mo 2.59-2.81
Re 0.3768 0.3768 0.1850  3 Re 2.52-2.61, 5 Mo 2.59-2.81
Re 0.1918 0.1918 0.8150  3 Re 2.52-2.61, 5 Mo 2.59-2.81
Re 0.8082 0.6232 0.0000  3 Re 2.52-2.61, 5 Mo 2.59-2.81
Re 0.6232 0.8082 0.0000  3 Re 2.52-2.61, 5 Mo 2.59-2.81

Which formula does entry 2 have?
BaSiMo4

N(E_F) of number 2 (BaSiMo4)?
7.53 states/eV/f.u.

Among the records above, which one has the highest N(E_F)?
Re12Mo17